# Ce3SeCl3 GGA-PBE optimized geometry
# Energy relative to the elements, uncorrected: -1.718 eV per atom
# Theoretical density: 4.71 g/cm3
# N(E_F): 93.28 states/eV per cell
data_Ce3SeCl3
_cell_length_a 7.0461
_cell_length_b 7.0461
_cell_length_c 29.8131
_cell_angle_alpha 90.00
_cell_angle_beta 90.00
_cell_angle_gamma 120.00
_symmetry_space_group_name_H-M 'R -3'
_symmetry_Int_Tables_number 148
_symmetry_space_group_name_Hall '-R 3'
loop_
_atom_site_label
_atom_site_type_symbol
_atom_site_fract_x
_atom_site_fract_y
_atom_site_fract_z
Ce1 Ce 0.9999 0.3217 0.4449
Se1 Se 0.0000 0.0000 0.1667
Cl1 Cl 0.9998 0.3411 0.6111

---

# Pb3C4 GGA-PBE optimized geometry
# Calculated formation energy: 2.315 eV per atom
# Excess energy over the best structure of this formula in the dataset: 409 meV per atom
# Theoretical density: 7.17 g/cm3
# N(E_F): 5.00 states/eV per cell
data_Pb3C4
_cell_length_a 5.372
_cell_length_b 5.372
_cell_length_c 5.372
_cell_angle_alpha 90.00
_cell_angle_beta 90.00
_cell_angle_gamma 90.00
_symmetry_space_group_name_H-M 'P -4 3 m'
_symmetry_Int_Tables_number 215
_symmetry_space_group_name_Hall 'P -4 2 3'
loop_
_atom_site_label
_atom_site_type_symbol
_atom_site_fract_x
_atom_site_fract_y
_atom_site_fract_z
Pb1 Pb 0.000 0.000 0.500
C1 C 0.233 0.233 0.233

---

# MnAg2Hg GGA-PBE optimized geometry
# Calculated formation energy: 0.221 eV per atom
# Theoretical density: 10.64 g/cm3
# N(E_F): 2.17 states/eV per cell
data_MnAg2Hg
_cell_length_a 4.145
_cell_length_b 4.145
_cell_length_c 4.282
_cell_angle_alpha 90.00
_cell_angle_beta 90.00
_cell_angle_gamma 90.00
_symmetry_space_group_name_H-M 'P 4/m m m'
_symmetry_Int_Tables_number 123
_symmetry_space_group_name_Hall '-P 4 2'
loop_
_atom_site_label
_atom_site_type_symbol
_atom_site_fract_x
_atom_site_fract_y
_atom_site_fract_z
Mn1 Mn 0.000 0.000 0.000
Ag1 Ag 0.000 0.500 0.500
Hg1 Hg 0.500 0.500 0.000

---

# Np2SnRu3 GGA-PBE optimized geometry
# Calculated formation energy: -0.059 eV per atom
# Theoretical density: 13.47 g/cm3
# N(E_F): 22.09 states/eV per cell
data_Np2SnRu3
_cell_length_a 4.382
_cell_length_b 14.172
_cell_length_c 3.558
_cell_angle_alpha 90.00
_cell_angle_beta 90.00
_cell_angle_gamma 90.00
_symmetry_space_group_name_H-M 'C m m m'
_symmetry_Int_Tables_number 65
_symmetry_space_group_name_Hall '-C 2 2'
loop_
_atom_site_label
_atom_site_type_symbol
_atom_site_fract_x
_atom_site_fract_y
_atom_site_fract_z
Np1 Np 0.000 0.165 0.000
Sn1 Sn 0.000 0.500 0.000
Ru1 Ru 0.000 0.000 0.500
Ru2 Ru 0.000 0.338 0.500

---

# LaCoHg GGA-PBE optimized geometry
# Calculated formation energy: -0.251 eV per atom
# Theoretical density: 9.70 g/cm3
# N(E_F): 10.20 states/eV per cell
data_LaCoHg
_cell_length_a 12.677
_cell_length_b 4.268
_cell_length_c 5.123
_cell_angle_alpha 90.00
_cell_angle_beta 100.10
_cell_angle_gamma 90.00
_symmetry_space_group_name_H-M 'C 1 2/m 1'
_symmetry_Int_Tables_number 12
loop_
_symmetry_equiv_pos_as_xyz
'x,y,z'
'-x,-y,-z'
'-x,y,-z'
'x,-y,z'
'x+1/2,y+1/2,z'
'-x+1/2,-y+1/2,-z'
'-x+1/2,y+1/2,-z'
'x+1/2,-y+1/2,z'
loop_
_atom_site_label
_atom_site_type_symbol
_atom_site_fract_x
_atom_site_fract_y
_atom_site_fract_z
La1 La 0.129 0.000 0.302
Co1 Co 0.220 0.000 0.915
Hg1 Hg 0.081 0.500 0.777

---

# Ta2Zn2Mo GGA-PBE optimized geometry
# Calculated formation energy: 0.113 eV per atom
# Excess energy over the best structure of this formula in the dataset: 0 meV per atom
# Theoretical density: 12.19 g/cm3
# N(E_F): 5.59 states/eV per cell
data_Ta2Zn2Mo
_cell_length_a 6.797
_cell_length_b 6.797
_cell_length_c 3.470
_cell_angle_alpha 90.00
_cell_angle_beta 90.00
_cell_angle_gamma 90.00
_symmetry_space_group_name_H-M 'P 4/m b m'
_symmetry_Int_Tables_number 127
_symmetry_space_group_name_Hall '-P 4 2ab'
loop_
_atom_site_label
_atom_site_type_symbol
_atom_site_fract_x
_atom_site_fract_y
_atom_site_fract_z
Ta1 Ta 0.180 0.320 0.000
Zn1 Zn 0.123 0.623 0.500
Mo1 Mo 0.000 0.000 0.500